# PBE SmHoPb2, relaxed
data_SmHoPb2
_chemical_formula_sum 'Sm3 Ho3 Pb6'
_symmetry_space_group_name_H-M 'R 3 m'
_symmetry_Int_Tables_number 160
_symmetry_space_group_name_Hall 'R 3 -2"'
_cell_length_a 4.7953
_cell_length_b 4.7953
_cell_length_c 20.1048
_cell_angle_alpha 90.00
_cell_angle_beta 90.00
_cell_angle_gamma 120.00
loop_
_atom_site_label
_atom_site_type_symbol
_atom_site_fract_x
_atom_site_fract_y
_atom_site_fract_z
_atom_site_occupancy
Sm1 Sm 0.0000 0.0000 0.0000 1
Ho1 Ho 0.0000 0.0000 0.1777 1
Pb1 Pb 0.0000 0.0000 0.4235 1
Pb2 Pb 0.0000 0.0000 0.5844 1
# * calculated volume: 33.4 Å³ per atom
# * electronic total energy: -4.515 eV per atom

***

# PBE La3YZn, relaxed
data_La3YZn
_chemical_formula_sum 'La3 Y1 Zn1'
_symmetry_space_group_name_H-M 'P m -3 m'
_symmetry_Int_Tables_number 221
_symmetry_space_group_name_Hall '-P 4 2 3'
_cell_length_a 5.759
_cell_length_b 5.759
_cell_length_c 5.759
_cell_angle_alpha 90.00
_cell_angle_beta 90.00
_cell_angle_gamma 90.00
loop_
_atom_site_label
_atom_site_type_symbol
_atom_site_fract_x
_atom_site_fract_y
_atom_site_fract_z
_atom_site_occupancy
La1 La 0.000 0.000 0.500 1
Y1 Y 0.500 0.500 0.500 1
Zn1 Zn 0.000 0.000 0.000 1
# * polymorph energy (0 for the lowest one): 0 meV/atom
# * calculated volume: 38.2 Å³ per atom

***

# PBE SrPmB2O6, relaxed
data_SrPmB2O6
_chemical_formula_sum 'Sr4 Pm4 B8 O24'
_symmetry_space_group_name_H-M 'C 1 2/c 1'
_symmetry_Int_Tables_number 15
_cell_length_a 8.403
_cell_length_b 9.958
_cell_length_c 6.895
_cell_angle_alpha 90.00
_cell_angle_beta 109.59
_cell_angle_gamma 90.00
loop_
_symmetry_equiv_pos_as_xyz
'x,y,z'
'-x,-y,-z'
'-x,y,-z+1/2'
'x,-y,z+1/2'
'x+1/2,y+1/2,z'
'-x+1/2,-y+1/2,-z'
'-x+1/2,y+1/2,-z+1/2'
'x+1/2,-y+1/2,z+1/2'
loop_
_atom_site_label
_atom_site_type_symbol
_atom_site_fract_x
_atom_site_fract_y
_atom_site_fract_z
_atom_site_occupancy
Sr1 Sr 0.000 0.159 0.250 1
Pm1 Pm 0.000 0.399 0.750 1
B1 B 0.246 0.111 0.734 1
O1 O 0.097 0.385 0.113 1
O2 O 0.158 0.227 0.665 1
O3 O 0.195 0.010 0.138 1
# * formation energy without anion corrections: -2.72 eV per atom
# * calculated volume: 13.6 Å³ per atom

***

# PBE Pr2Y4As3N2, relaxed
data_Pr2Y4As3N2
_chemical_formula_sum 'Pr4 Y8 As6 N4'
_symmetry_space_group_name_H-M 'I 4/m m m'
_symmetry_Int_Tables_number 139
_symmetry_space_group_name_Hall '-I 4 2'
_cell_length_a 4.577
_cell_length_b 4.577
_cell_length_c 24.248
_cell_angle_alpha 90.00
_cell_angle_beta 90.00
_cell_angle_gamma 90.00
loop_
_atom_site_label
_atom_site_type_symbol
_atom_site_fract_x
_atom_site_fract_y
_atom_site_fract_z
_atom_site_occupancy
Pr1 Pr 0.000 0.000 0.196 1
Y1 Y 0.000 0.500 0.079 1
As1 As 0.000 0.000 0.327 1
As2 As 0.000 0.000 0.500 1
N1 N 0.000 0.000 0.096 1
# * formation energy without anion corrections: -1.32 eV per atom
# * calculated volume: 23.1 Å³ per atom

***

# PBE CePrSn, relaxed
data_CePrSn
_chemical_formula_sum 'Ce2 Pr2 Sn2'
_symmetry_space_group_name_H-M 'P 4/n m m'
_symmetry_Int_Tables_number 129
_cell_length_a 4.516
_cell_length_b 4.516
_cell_length_c 9.021
_cell_angle_alpha 90.00
_cell_angle_beta 90.00
_cell_angle_gamma 90.00
loop_
_symmetry_equiv_pos_as_xyz
'x,y,z'
'-x,-y,-z'
'-y+1/2,x,z'
'y+1/2,-x,-z'
'-x+1/2,-y+1/2,z'
'x+1/2,y+1/2,-z'
'y,-x+1/2,z'
'-y,x+1/2,-z'
'x+1/2,-y,-z'
'-x+1/2,y,z'
'-y,-x,-z'
'y,x,z'
'-x,y+1/2,-z'
'x,-y+1/2,z'
'y+1/2,x+1/2,-z'
'-y+1/2,-x+1/2,z'
loop_
_atom_site_label
_atom_site_type_symbol
_atom_site_fract_x
_atom_site_fract_y
_atom_site_fract_z
_atom_site_occupancy
Ce1 Ce 0.250 0.750 0.000 1
Pr1 Pr 0.250 0.250 0.360 1
Sn1 Sn 0.250 0.250 0.731 1
# * polymorph energy (0 for the lowest one): 0 meV/atom
# * calculated volume: 30.7 Å³ per atom

***

# PBE Li2AgHg, relaxed
data_Li2AgHg
_chemical_formula_sum 'Li4 Ag2 Hg2'
_symmetry_space_group_name_H-M 'I m m 2'
_symmetry_Int_Tables_number 44
_cell_length_a 4.056
_cell_length_b 4.057
_cell_length_c 8.462
_cell_angle_alpha 90.00
_cell_angle_beta 90.00
_cell_angle_gamma 90.00
loop_
_symmetry_equiv_pos_as_xyz
'x,y,z'
'-x,-y,z'
'-x,y,z'
'x,-y,z'
'x+1/2,y+1/2,z+1/2'
'-x+1/2,-y+1/2,z+1/2'
'-x+1/2,y+1/2,z+1/2'
'x+1/2,-y+1/2,z+1/2'
loop_
_atom_site_label
_atom_site_type_symbol
_atom_site_fract_x
_atom_site_fract_y
_atom_site_fract_z
_atom_site_occupancy
Li1 Li 0.000 0.000 0.000 1
Li2 Li 0.000 0.500 0.250 1
Ag1 Ag 0.000 0.500 0.749 1
Hg1 Hg 0.000 0.000 0.499 1
# * calculated volume: 17.4 Å³ per atom
# * electronic total energy: -2.018 eV per atom

***

# PBE La3Pr4Tm4, relaxed
data_La3Pr4Tm4
_chemical_formula_sum 'La3 Pr4 Tm4'
_symmetry_space_group_name_H-M 'P -1'
_symmetry_Int_Tables_number 2
_cell_length_a 3.661
_cell_length_b 5.155
_cell_length_c 20.119
_cell_angle_alpha 97.34
_cell_angle_beta 95.21
_cell_angle_gamma 90.03
loop_
_symmetry_equiv_pos_as_xyz
'x,y,z'
'-x,-y,-z'
loop_
_atom_site_label
_atom_site_type_symbol
_atom_site_fract_x
_atom_site_fract_y
_atom_site_fract_z
_atom_site_occupancy
La1 La 0.000 0.000 0.000 1
La2 La 0.363 0.363 0.725 1
Pr1 Pr 0.184 0.184 0.368 1
Pr2 Pr 0.453 0.453 0.906 1
Tm1 Tm 0.092 0.091 0.183 1
Tm2 Tm 0.272 0.272 0.543 1
# * polymorph energy (0 for the lowest one): 0 meV/atom
# * calculated volume: 34.1 Å³ per atom

***

# PBE Na2HfInGe, relaxed
data_Na2HfInGe
_chemical_formula_sum 'Na2 Hf1 In1 Ge1'
_symmetry_space_group_name_H-M 'P 4/m m m'
_symmetry_Int_Tables_number 123
_symmetry_space_group_name_Hall '-P 4 2'
_cell_length_a 5.268
_cell_length_b 5.268
_cell_length_c 5.325
_cell_angle_alpha 90.00
_cell_angle_beta 90.00
_cell_angle_gamma 90.00
loop_
_atom_site_label
_atom_site_type_symbol
_atom_site_fract_x
_atom_site_fract_y
_atom_site_fract_z
_atom_site_occupancy
Na1 Na 0.000 0.500 0.000 1
Hf1 Hf 0.000 0.000 0.500 1
In1 In 0.500 0.500 0.000 1
Ge1 Ge 0.500 0.500 0.500 1
# * calculated volume: 29.6 Å³ per atom
# * electronic total energy: -2.967 eV per atom

***

# PBE KRb2ZnAg, relaxed
data_KRb2ZnAg
_chemical_formula_sum 'K1 Rb2 Zn1 Ag1'
_symmetry_space_group_name_H-M 'P 4/m m m'
_symmetry_Int_Tables_number 123
_symmetry_space_group_name_Hall '-P 4 2'
_cell_length_a 6.936
_cell_length_b 6.936
_cell_length_c 5.188
_cell_angle_alpha 90.00
_cell_angle_beta 90.00
_cell_angle_gamma 90.00
loop_
_atom_site_label
_atom_site_type_symbol
_atom_site_fract_x
_atom_site_fract_y
_atom_site_fract_z
_atom_site_occupancy
K1 K 0.000 0.000 0.000 1
Rb1 Rb 0.000 0.500 0.500 1
Zn1 Zn 0.500 0.500 0.500 1
Ag1 Ag 0.500 0.500 0.000 1
# * polymorph energy (0 for the lowest one): 16 meV/atom
# * calculated volume: 49.9 Å³ per atom

***

# PBE ScNbN2, relaxed
data_ScNbN2
_chemical_formula_sum 'Sc3 Nb3 N6'
_symmetry_space_group_name_H-M 'R 3 m'
_symmetry_Int_Tables_number 160
_symmetry_space_group_name_Hall 'R 3 -2"'
_cell_length_a 3.0805
_cell_length_b 3.0805
_cell_length_c 16.3333
_cell_angle_alpha 90.00
_cell_angle_beta 90.00
_cell_angle_gamma 120.00
loop_
_atom_site_label
_atom_site_type_symbol
_atom_site_fract_x
_atom_site_fract_y
_atom_site_fract_z
_atom_site_occupancy
Sc1 Sc 0.0000 0.0000 0.0000 1
Nb1 Nb 0.0000 0.0000 0.1744 1
N1 N 0.0000 0.0000 0.4229 1
N2 N 0.0000 0.0000 0.5897 1
# * formation energy without anion corrections: -1.52 eV per atom
# * calculated volume: 11.2 Å³ per atom

***

# PBE MnIrSe2, relaxed
data_MnIrSe2
_chemical_formula_sum 'Mn4 Ir4 Se8'
_symmetry_space_group_name_H-M 'I -4 2 d'
_symmetry_Int_Tables_number 122
_symmetry_space_group_name_Hall 'I -4 2bw'
_cell_length_a 5.442
_cell_length_b 5.442
_cell_length_c 10.805
_cell_angle_alpha 90.00
_cell_angle_beta 90.00
_cell_angle_gamma 90.00
loop_
_atom_site_label
_atom_site_type_symbol
_atom_site_fract_x
_atom_site_fract_y
_atom_site_fract_z
_atom_site_occupancy
Mn1 Mn 0.000 0.000 0.000 1
Ir1 Ir 0.000 0.000 0.500 1
Se1 Se 0.230 0.250 0.125 1
# * polymorph energy (0 for the lowest one): 426 meV/atom
# * formation energy without anion corrections: 0.19 eV per atom
# * calculated volume: 20.0 Å³ per atom

***

# PBE Ta2CrIr, relaxed
data_Ta2CrIr
_chemical_formula_sum 'Ta2 Cr1 Ir1'
_symmetry_space_group_name_H-M 'P m m m'
_symmetry_Int_Tables_number 47
_cell_length_a 3.327
_cell_length_b 4.238
_cell_length_c 4.502
_cell_angle_alpha 90.00
_cell_angle_beta 90.00
_cell_angle_gamma 90.00
loop_
_symmetry_equiv_pos_as_xyz
'x,y,z'
'-x,-y,-z'
'-x,-y,z'
'x,y,-z'
'x,-y,-z'
'-x,y,z'
'-x,y,-z'
'x,-y,z'
loop_
_atom_site_label
_atom_site_type_symbol
_atom_site_fract_x
_atom_site_fract_y
_atom_site_fract_z
_atom_site_occupancy
Ta1 Ta 0.000 0.000 0.000 1
Ta2 Ta 0.500 0.000 0.500 1
Cr1 Cr 0.000 0.500 0.500 1
Ir1 Ir 0.500 0.500 0.000 1
# * calculated volume: 15.9 Å³ per atom
# * electronic total energy: -10.698 eV per atom

***

Repeat the third record exactly.
# PBE SrPmB2O6, relaxed
data_SrPmB2O6
_chemical_formula_sum 'Sr4 Pm4 B8 O24'
_symmetry_space_group_name_H-M 'C 1 2/c 1'
_symmetry_Int_Tables_number 15
_cell_length_a 8.403
_cell_length_b 9.958
_cell_length_c 6.895
_cell_angle_alpha 90.00
_cell_angle_beta 109.59
_cell_angle_gamma 90.00
loop_
_symmetry_equiv_pos_as_xyz
'x,y,z'
'-x,-y,-z'
'-x,y,-z+1/2'
'x,-y,z+1/2'
'x+1/2,y+1/2,z'
'-x+1/2,-y+1/2,-z'
'-x+1/2,y+1/2,-z+1/2'
'x+1/2,-y+1/2,z+1/2'
loop_
_atom_site_label
_atom_site_type_symbol
_atom_site_fract_x
_atom_site_fract_y
_atom_site_fract_z
_atom_site_occupancy
Sr1 Sr 0.000 0.159 0.250 1
Pm1 Pm 0.000 0.399 0.750 1
B1 B 0.246 0.111 0.734 1
O1 O 0.097 0.385 0.113 1
O2 O 0.158 0.227 0.665 1
O3 O 0.195 0.010 0.138 1
# * formation energy without anion corrections: -2.72 eV per atom
# * calculated volume: 13.6 Å³ per atom

***

Q: Among the records above, which one has the lowest calculated volume?
A: ScNbN2

***

Q: Among the records above, which one has the highest calculated volume?
A: KRb2ZnAg

***

Q: Which of these has the lowest calculated volume?
A: ScNbN2